[1]
First-principles (PBE) data for a relaxed TiRhIO6 crystal, as listed in Alexandria.

```
TiRhIO6
1.0
-1.3917 -4.1970 -2.8578
-0.7685 0.0105 5.2084
-7.9049 3.4202 -1.1733
Ti Rh I O
2 2 2 12
direct
0.3333 0.6667 0.2500
0.6667 0.3333 0.7500
0.0000 0.0000 0.0000
0.0000 0.0000 0.5000
0.6667 0.3333 0.2500
0.3333 0.6667 0.7500
0.6532 0.6727 0.1269
0.0195 0.3468 0.1269
0.3468 0.0195 0.6269
0.9805 0.6532 0.8731
0.3273 0.3468 0.3731
0.0195 0.6727 0.3731
0.6727 0.0195 0.8731
0.6532 0.9805 0.3731
0.9805 0.3273 0.6269
0.3273 0.9805 0.1269
0.6727 0.6532 0.6269
0.3468 0.3273 0.8731
```

Output
- Theoretical density: 5.9 g cm⁻³
- VASP energy: -113.20 eV/cell
- Raw formation energy: -1.1171 eV/atom

***

[2]
First-principles (PBE) data for a relaxed TiRhIO2 crystal, as listed in Alexandria.

```
TiRhIO2
1.0
3.8025 0.0000 0.0000
0.0000 3.8025 0.0000
0.0000 0.0000 6.0997
I Rh O Ti
1 1 2 1
direct
0.0000 0.0000 0.5000
0.5000 0.5000 0.5000
0.0000 0.5000 0.0000
0.5000 0.0000 0.0000
0.0000 0.0000 0.0000
```

Output
- Theoretical density: 5.8 g cm⁻³
- Energy above the most stable polymorph in this dataset: 0 meV per atom
- VASP energy: -32.02 eV/cell
- Raw formation energy: -1.0608 eV/atom

***

Number 2 is which compound? TiRhIO2

***

Which of these has the highest raw formation energy? TiRhIO2